Density functional theory data (PBE) for K2ZrMo after structural relaxation.

Properties
Space group: R-3m (166)
Volume, Å³ per atom: 26.079
Formation energy from the elements, meV/atom: 1263
DFT total energy, eV per atom: -4.1304
Energy above the most stable polymorph in this dataset, meV/atom: 565

Lattice parameters (Å, degrees): 13.3471 13.3471 13.3471 12.98 12.98 12.98
Closest atoms and distances in Å follow each position.
Positions (direct):
K (0.2438, 0.2438, 0.2438)  6 K 3.02
K (0.7562, 0.7562, 0.7562)  6 K 3.02
Zr (0.0000, 0.0000, 0.0000)  6 Zr 3.02
Mo (0.5000, 0.5000, 0.5000)  6 Mo 3.02